Record 1
First-principles (PBE-GGA) data for crystalline AcCeAgPb at its relaxed geometry, as listed in Alexandria.

```
AcCeAgPb
1.0
-0.0357 4.6800 3.1054
-3.9501 3.9022 -0.8468
-4.0279 0.7966 3.8326
Ag Ce Ac Pb
1 1 1 1
Direct
0.2500 0.2500 0.2500 Ag
0.0000 0.0000 0.0000 Ce
0.5000 0.5000 0.5000 Ac
0.7500 0.7500 0.7500 Pb
```

density of states at the Fermi level: 10.2 states/eV/cell
raw total energy: -17.7 eV for the cell shown
mass density: 9.0 Mg/m³
E_form: -0.284 eV/atom
space group: F-43m (216)


Record 2
First-principles (PBE-GGA) data for crystalline Tb6As2PS3 at its relaxed geometry, as listed in Alexandria.

```
Tb6As2PS3
1.0
-0.8915 0.6410 -3.8740
-2.4017 -7.6273 -0.7093
-6.8850 3.8502 4.3142
P Tb S As
1 6 3 2
Direct
0.5000 0.0000 0.0000 P
0.6655 0.5842 0.3310 Tb
0.3363 0.9204 0.6727 Tb
0.6637 0.0796 0.3273 Tb
0.3345 0.4158 0.6690 Tb
0.9993 0.2421 0.9985 Tb
0.0007 0.7579 0.0015 Tb
0.8326 0.1665 0.6652 S
0.1674 0.8335 0.3348 S
0.5000 0.5000 0.0000 S
0.8333 0.6668 0.6665 As
0.1667 0.3332 0.3335 As
```

density of states at the Fermi level: 4.0 states/eV/cell
raw total energy: -76.8 eV for the cell shown
mass density: 7.4 Mg/m³
space group: C2/m (12)
formation energy (no corrections): -1828 meV per atom


Record 3
First-principles (PBE-GGA) data for crystalline Er3SbC at its relaxed geometry, as listed in Alexandria.

```
Er3SbC
1.0
-0.1435 -4.2262 2.3141
0.8167 -2.3029 -4.1552
4.7486 0.2684 0.7846
Sb C Er
1 1 3
Direct
0.5000 0.5000 0.5000 Sb
0.0000 0.0000 0.0000 C
0.0000 0.5000 0.0000 Er
0.0000 0.0000 0.5000 Er
0.5000 0.0000 0.0000 Er
```

density of states at the Fermi level: 3.0 states/eV/cell
raw total energy: -30.2 eV for the cell shown
mass density: 9.4 Mg/m³
space group: Pm-3m (221)
formation energy (no corrections): -631 meV per atom


Record 4
First-principles (PBE-GGA) data for crystalline Cu2PdI6 at its relaxed geometry, as listed in Alexandria.

```
Cu2PdI6
1.0
-4.9706 -2.0665 -5.1075
-2.2718 -7.7561 3.8908
-7.1833 3.4047 4.1550
I Pd Cu
12 2 4
Direct
0.6306 0.6295 0.1215 I
0.1094 0.8113 0.9580 I
0.8906 0.1887 0.0420 I
0.3659 0.7074 0.5368 I
0.3906 0.0420 0.1887 I
0.8659 0.5368 0.7074 I
0.3694 0.3705 0.8785 I
0.6341 0.2926 0.4632 I
0.8694 0.8785 0.3705 I
0.1306 0.1215 0.6295 I
0.1341 0.4632 0.2926 I
0.6094 0.9580 0.8113 I
0.7500 0.9096 0.0904 Pd
0.2500 0.0904 0.9096 Pd
0.3234 0.2323 0.4002 Cu
0.1766 0.5998 0.7677 Cu
0.8234 0.4002 0.2323 Cu
0.6766 0.7677 0.5998 Cu
```

density of states at the Fermi level: 17.9 states/eV/cell
raw total energy: -47.3 eV for the cell shown
mass density: 5.6 Mg/m³
space group: C2/c (15)
formation energy (no corrections): -104 meV per atom


Record 5
First-principles (PBE-GGA) data for crystalline LaBIO2 at its relaxed geometry, as listed in Alexandria.

```
LaBIO2
1.0
-3.7794 1.4470 1.5824
1.1982 -1.2341 3.9904
2.9018 6.3759 1.1004
I La O B
1 1 2 1
Direct
0.0000 0.0000 0.5000 I
0.0000 0.0000 0.0000 La
0.5000 0.0000 0.0000 O
0.0000 0.5000 0.0000 O
0.5000 0.5000 0.5000 B
```

density of states at the Fermi level: 2.5 states/eV/cell
raw total energy: -25.3 eV for the cell shown
mass density: 3.8 Mg/m³
space group: P4/mmm (123)
ΔE to the lowest computed polymorph: 0 meV/atom
formation energy (no corrections): -449 meV per atom


Record 6
First-principles (PBE-GGA) data for crystalline Ba2YP2 at its relaxed geometry, as listed in Alexandria.

```
Ba2YP2
1.0
-6.8808 -3.7532 -2.2985
3.6484 -7.2500 0.9167
-1.3813 -0.1428 4.3683
Ba Y P
4 2 4
Direct
0.8590 0.3590 0.5000 Ba
0.3590 0.1410 0.5000 Ba
0.1410 0.6410 0.5000 Ba
0.6410 0.8590 0.5000 Ba
0.0000 0.0000 0.0000 Y
0.5000 0.5000 0.0000 Y
0.8256 0.6744 0.0000 P
0.1744 0.3256 0.0000 P
0.3256 0.8256 0.0000 P
0.6744 0.1744 0.0000 P
```

density of states at the Fermi level: 2.3 states/eV/cell
raw total energy: -51.3 eV for the cell shown
mass density: 4.6 Mg/m³
E_form: -0.907 eV/atom
space group: P4/mbm (127)


Q: Number 2 is which compound?
A: Tb6As2PS3


Q: Which value of raw total energy does entry 3 give?
A: -30.2 eV for the cell shown